Compound: Sr2FeF
Source: Alexandria
Functional: PBE with a Hubbard U
Structure: optimized geometry

## Properties
For the energy above the most stable polymorph in this dataset, the calculation gives 0.000 eV/atom.

CIF file:
```
data_Sr2FeF
_chemical_formula_sum 'Sr4 Fe2 F2'
_symmetry_space_group_name_H-M 'P 1'
_symmetry_Int_Tables_number 1
_cell_length_a 6.939
_cell_length_b 6.939
_cell_length_c 6.939
_cell_angle_alpha 114.25
_cell_angle_beta 114.25
_cell_angle_gamma 100.28
loop_
_symmetry_equiv_pos_as_xyz
'x,y,z'
loop_
_atom_site_label
_atom_site_fract_x
_atom_site_fract_y
_atom_site_fract_z
Sr1 0.032 0.625 0.907
Sr2 0.375 0.282 0.407
Sr3 0.718 0.125 0.093
Sr4 0.875 0.968 0.593
Fe1 0.250 0.750 0.500
Fe2 0.500 0.500 0.000
F1 0.000 0.000 0.000
F2 0.750 0.250 0.500
```